BaSmCr4O12: relaxed, PBE+U.

Output
M_tot (μB per cell): 5.0
Crystal system: tetragonal
VASP energy (eV per atom): -6.9758

Cell: 5.4648 5.4648 7.5012 Å, 90.00 90.00 90.00°
Space group P4/mmm (No. 123)
Symmetry-distinct sites (fractional):
Ba  0.0000  0.0000  0.0000 [1 per cell]
Sm  0.5000  0.5000  0.5000 [1 per cell]
Cr  0.0000  0.5000  0.2503 [4 per cell]
O  0.0000  0.5000  0.0000 [2 per cell]
O  0.0000  0.5000  0.5000 [2 per cell]
O  0.2609  0.2609  0.2649 [8 per cell]